Record 1
A plane-wave DFT calculation with PBE was carried out for a relaxed KLi2BeCl6 crystal.

The space group is C2/c (No. 15) and the conventional cell measures 12.674, 13.715 and 7.710 Å, with angles of 90.00, 119.08 and 90.00 degrees. The distinct sites, in fractional coordinates, are K at (0.000, 0.121, 0.250), Li at (0.163, 0.409, 0.071), Be at (0.000, 0.171, 0.750), Cl at (0.085, 0.250, 0.002), Cl at (0.118, 0.464, 0.331) and Cl at (0.121, 0.080, 0.722).

Its uncorrected formation energy is -1.49 eV/atom. As for the total DFT energy (no corrections): -138.46 eV for the cell shown.

---

Record 2
A plane-wave DFT calculation with PBE was carried out for a relaxed CsCd2AgHg crystal.

The space group is P4/mmm (No. 123) and the conventional cell measures 5.493, 5.493 and 5.619 Å, with angles of 90.00, 90.00 and 90.00 degrees. The distinct sites, in fractional coordinates, are Cs at (0.000, 0.000, 0.000), Cd at (0.000, 0.500, 0.500), Ag at (0.500, 0.500, 0.500) and Hg at (0.500, 0.500, 0.000).

The formation energy from the elements comes out at -0.021 eV/atom. As for the total DFT energy (no corrections): -5.94 eV for the cell shown. The value obtained for the density of states at the Fermi level is 0.60 states/eV per atom.

---

Record 3
A plane-wave DFT calculation with PBE was carried out for a relaxed BaInSn6Au2 crystal.

The space group is R-3m (No. 166, hexagonal axes) and the conventional cell measures 6.4194, 6.4194 and 27.8538 Å, with angles of 90.00, 90.00 and 120.00 degrees. The distinct sites, in fractional coordinates, are Ba at (0.0000, 0.0000, 0.0000), In at (0.0000, 0.0000, 0.5000), Sn at (0.0150, 0.5075, 0.9191) and Au at (0.0000, 0.0000, 0.3388).

The formation energy from the elements comes out at -0.150 eV/atom. As for the total DFT energy (no corrections): -110.20 eV for the cell shown. The value obtained for the density of states at the Fermi level is 0.62 states/eV per atom.

---

Record 4
A plane-wave DFT calculation with PBE was carried out for a relaxed AcY7Ho4 crystal.

The space group is P-1 (No. 2) and the conventional cell measures 6.264, 7.255 and 8.922 Å, with angles of 89.97, 76.27 and 89.89 degrees. The distinct sites, in fractional coordinates, are Ac at (0.000, 0.000, 0.000), Y at (0.000, 0.500, 0.000), Y at (0.224, 0.000, 0.339), Y at (0.281, 0.745, 0.662), Y at (0.499, 0.255, 0.999), Ho at (0.221, 0.500, 0.336) and Ho at (0.279, 0.254, 0.663).

The formation energy from the elements comes out at 0.013 eV/atom. As for the total DFT energy (no corrections): -67.52 eV for the cell shown. The value obtained for the density of states at the Fermi level is 1.58 states/eV per atom.

---

Record 5
A plane-wave DFT calculation with PBE was carried out for a relaxed HfTlF3 crystal.

The space group is Pm-3m (No. 221) and the conventional cell measures 4.379, 4.379 and 4.379 Å, with angles of 90.00, 90.00 and 90.00 degrees. The distinct sites, in fractional coordinates, are Hf at (0.000, 0.000, 0.000), Tl at (0.500, 0.500, 0.500) and F at (0.000, 0.000, 0.500).

Its uncorrected formation energy is -2.20 eV/atom. As for the total DFT energy (no corrections): -28.95 eV for the cell shown. The value obtained for the density of states at the Fermi level is 0.90 states/eV per atom.

---

Record 6
A plane-wave DFT calculation with PBE was carried out for a relaxed MnCoOs crystal.

The space group is I4mm (No. 107) and the conventional cell measures 2.610, 2.610 and 10.656 Å, with angles of 90.00, 90.00 and 90.00 degrees. The distinct sites, in fractional coordinates, are Mn at (0.000, 0.000, 0.000), Co at (0.000, 0.000, 0.340) and Os at (0.000, 0.000, 0.669).

The formation energy from the elements comes out at 0.151 eV/atom. As for the total DFT energy (no corrections): -54.11 eV for the cell shown. The value obtained for the density of states at the Fermi level is 1.64 states/eV per atom.